This record from Alexandria via LeMat-Bulk describes a geometry-optimized AcSbHPd structure. The functional is PBE.

Structure (CIF):
```
data_AcSbHPd
_cell_length_a 4.6706
_cell_length_b 4.6706
_cell_length_c 4.4655
_cell_angle_alpha 90.00
_cell_angle_beta 90.00
_cell_angle_gamma 120.00
_symmetry_space_group_name_H-M 'P 3 m 1'
_symmetry_Int_Tables_number 156
_symmetry_space_group_name_Hall 'P 3 -2"'
loop_
_atom_site_label
_atom_site_fract_x
_atom_site_fract_y
_atom_site_fract_z
Ac1 0.0000 0.0000 0.0000
Sb1 0.6667 0.3333 0.5202
H1 0.3333 0.6667 0.0511
Pd1 0.3333 0.6667 0.4433
```

Distance to the lowest polymorph of the same formula = 0 meV/atom
Total magnetization = 0.00 μB per formula unit
Calculated total energy = -20.2 eV for the cell shown

This record from Alexandria via LeMat-Bulk describes a geometry-optimized AcSbHPd structure. The functional is PBE.

Structure (CIF):
```
data_AcSbHPd
_cell_length_a 6.971
_cell_length_b 6.971
_cell_length_c 6.971
_cell_angle_alpha 90.00
_cell_angle_beta 90.00
_cell_angle_gamma 90.00
_symmetry_space_group_name_H-M 'F -4 3 m'
_symmetry_Int_Tables_number 216
_symmetry_space_group_name_Hall 'F -4 2 3'
loop_
_atom_site_label
_atom_site_fract_x
_atom_site_fract_y
_atom_site_fract_z
Ac1 0.000 0.000 0.000
Sb1 0.000 0.000 0.500
H1 0.250 0.250 0.750
Pd1 0.250 0.250 0.250
```

Distance to the lowest polymorph of the same formula = 362 meV/atom
Total magnetization = 0.00 μB per formula unit
Calculated total energy = -75.1 eV for the cell shown

This record from Alexandria via LeMat-Bulk describes a geometry-optimized AcSbHPd3 structure. The functional is PBE.

Structure (CIF):
```
data_AcSbHPd3
_cell_length_a 6.628
_cell_length_b 11.445
_cell_length_c 6.031
_cell_angle_alpha 90.00
_cell_angle_beta 90.00
_cell_angle_gamma 90.00
_symmetry_space_group_name_H-M 'C m c m'
_symmetry_Int_Tables_number 63
_symmetry_space_group_name_Hall '-C 2c 2'
loop_
_atom_site_label
_atom_site_fract_x
_atom_site_fract_y
_atom_site_fract_z
Ac1 0.000 0.246 0.250
Sb1 0.000 0.099 0.750
H1 0.000 0.493 0.750
Pd1 0.000 0.327 0.750
Pd2 0.210 0.500 0.000
```

Total magnetization = 0.00 μB per formula unit
Calculated total energy = -124.1 eV for the cell shown